Entry 1:
The following is a DFT calculation (PBE-GGA) of an optimized crystal structure of PuIn2Ru.

The total energy is -7.34 eV/atom. For the calculated formation energy, the calculation gives -65 meV/atom. As for the density of states at the Fermi level: 8.2 states/eV per cell.

The structure belongs to space group P4/mmm (No. 123); the cell edges are 3.253, 3.253 and 7.991 Å and the angles 90.00°, 90.00° and 90.00°. The asymmetric unit holds Pu at (0.000, 0.000, 0.000), In at (0.500, 0.500, 0.301) and Ru at (0.000, 0.000, 0.500).


Entry 2:
The following is a DFT calculation (PBE-GGA) of an optimized crystal structure of Li3Br.

The total energy is -2.45 eV/atom. The calculation puts the formation energy without anion corrections at -0.600 eV/atom. As for the density of states at the Fermi level: 2.1 states/eV per cell.

The structure belongs to space group C2/m (No. 12); the cell edges are 6.245, 3.588 and 8.813 Å and the angles 90.00°, 102.97° and 90.00°. The asymmetric unit holds Li at (0.000, 0.000, 0.000), Li at (0.228, 0.000, 0.693) and Br at (0.000, 0.500, 0.500).


Entry 3:
The following is a DFT calculation (PBE-GGA) of an optimized crystal structure of La2Nd3Mg.

The total energy is -4.24 eV/atom. For the calculated formation energy, the calculation gives 48 meV/atom. As for the density of states at the Fermi level: 33.8 states/eV per cell.

The structure belongs to space group Cmcm (No. 63); the cell edges are 10.689, 13.464 and 5.634 Å and the angles 90.00°, 90.00° and 90.00°. The asymmetric unit holds La at (0.162, 0.183, 0.250), Nd at (0.000, 0.065, 0.750), Nd at (0.157, 0.438, 0.250) and Mg at (0.000, 0.329, 0.750).


Entry 4:
The following is a DFT calculation (PBE-GGA) of an optimized crystal structure of SrTi2IrO8.

The total energy is -7.66 eV/atom. The calculation puts the formation energy without anion corrections at -2.158 eV/atom. As for the density of states at the Fermi level: 3.8 states/eV per cell.

The structure belongs to space group P-1 (No. 2); the cell edges are 4.971, 4.972 and 6.880 Å and the angles 82.01°, 81.98° and 78.75°. The asymmetric unit holds Sr at (0.000, 0.000, 0.000), Ti at (0.456, 0.457, 0.218), Ir at (0.000, 0.000, 0.500), O at (0.221, 0.772, 0.297), O at (0.232, 0.783, 0.702), O at (0.240, 0.246, 0.436) and O at (0.335, 0.338, 0.008).


Number 1: total moment 5.9 Bohr magnetons per cell. Number 2: total moment 0.0 Bohr magnetons per cell. Number 3: total moment 0.0 Bohr magnetons per cell. Number 4: total moment 1.0 Bohr magnetons per cell.